Below is a relaxed In2GaBr4 crystal, with properties calculated at the PBE-GGA level.

a = 7.604 Å, b = 7.604 Å, c = 12.762 Å
α = 90.00°, β = 90.00°, γ = 90.00°
Space group I-42m (No. 121)
Asymmetric unit:
In: 0.000 0.500 0.250
Ga: 0.000 0.000 0.000
Br: 0.197 0.197 0.119

Summary:
E above lowest polymorph in kJ/mol of atoms: 6.1
N(E_F) in states/eV/f.u.: 4.95
Total DFT energy (no corrections) in Ry per atom: -0.2001
Total magnetization in Bohr magnetons per cell: 0.00
ΔE_f (raw) in eV per atom: -0.551